1.
Entry from Alexandria: crystalline In5Hg5Bi at its relaxed geometry (PBE).

CIF file:
```
data_In5Hg5Bi
_chemical_formula_sum 'In5 Hg5 Bi1'
_symmetry_space_group_name_H-M 'P -6 m 2'
_symmetry_Int_Tables_number 187
_symmetry_space_group_name_Hall 'P -6 2'
_cell_length_a 5.6420
_cell_length_b 5.6420
_cell_length_c 11.5782
_cell_angle_alpha 90.00
_cell_angle_beta 90.00
_cell_angle_gamma 120.00
loop_
_atom_site_label
_atom_site_type_symbol
_atom_site_fract_x
_atom_site_fract_y
_atom_site_fract_z
In1 In 0.0000 0.0000 0.0000
In2 In 0.3333 0.6667 0.2980
In3 In 0.6667 0.3333 0.1598
Hg1 Hg 0.0000 0.0000 0.2566
Hg2 Hg 0.3356 0.1678 0.5000
Bi1 Bi 0.3333 0.6667 0.0000
```



2.
Entry from Alexandria: crystalline In12Hg5Bi3 at its relaxed geometry (PBE).

CIF file:
```
data_In12Hg5Bi3
_chemical_formula_sum 'In96 Hg40 Bi24'
_symmetry_space_group_name_H-M 'I a -3 d'
_symmetry_Int_Tables_number 230
_symmetry_space_group_name_Hall '-I 4bd 2c 3'
_cell_length_a 17.671
_cell_length_b 17.671
_cell_length_c 17.671
_cell_angle_alpha 90.00
_cell_angle_beta 90.00
_cell_angle_gamma 90.00
loop_
_atom_site_label
_atom_site_type_symbol
_atom_site_fract_x
_atom_site_fract_y
_atom_site_fract_z
In1 In 0.017 0.072 0.650
Hg1 Hg 0.000 0.000 0.000
Hg2 Hg 0.000 0.250 0.375
Bi1 Bi 0.000 0.250 0.125
```



3.
Entry from Alexandria: crystalline In3Hg4Bi2 at its relaxed geometry (PBE).

CIF file:
```
data_In3Hg4Bi2
_chemical_formula_sum 'In12 Hg16 Bi8'
_symmetry_space_group_name_H-M 'C 1 2/c 1'
_symmetry_Int_Tables_number 15
_cell_length_a 14.902
_cell_length_b 7.818
_cell_length_c 9.726
_cell_angle_alpha 90.00
_cell_angle_beta 112.04
_cell_angle_gamma 90.00
loop_
_symmetry_equiv_pos_as_xyz
'x,y,z'
'-x,-y,-z'
'-x,y,-z+1/2'
'x,-y,z+1/2'
'x+1/2,y+1/2,z'
'-x+1/2,-y+1/2,-z'
'-x+1/2,y+1/2,-z+1/2'
'x+1/2,-y+1/2,z+1/2'
loop_
_atom_site_label
_atom_site_type_symbol
_atom_site_fract_x
_atom_site_fract_y
_atom_site_fract_z
In1 In 0.000 0.091 0.250
In2 In 0.224 0.121 0.818
Hg1 Hg 0.049 0.367 0.634
Hg2 Hg 0.114 0.109 0.040
Bi1 Bi 0.162 0.367 0.408
```



Number 1: final energy -1.64 eV per atom. Number 2: final energy -2.19 eV per atom. Number 3: final energy -1.89 eV per atom.